No. 1
Material: Pr2Ga3Sn2
Method: DFT, PBE
State: relaxed

a b c (Å): 7.7789 7.7789 7.7789
angles (deg): 109.47 109.47 109.47
Element x y z (fractional)
Pr 0.5000 0.4971 0.5000
Pr 0.5029 0.0029 0.0029
Pr 0.0000 0.0000 0.4971
Pr 0.9971 0.5000 0.0000
Ga 0.5122 0.2622 0.7500
Ga 0.7622 0.7500 0.0122
Ga 0.7378 0.2500 0.4878
Ga 0.2500 0.0122 0.2622
Ga 0.7500 0.4878 0.2378
Ga 0.9878 0.2378 0.2500
Sn 0.1062 0.6062 0.6062
Sn 0.0000 0.0000 0.8938
Sn 0.5000 0.8938 0.5000
Sn 0.3938 0.5000 0.0000

Computed properties:
Final energy in eV per cell: -58.514
Calculated formation energy in meV per atom: -373.1
Space group: I2_13, No. 199

=====

No. 2
Material: Pr4Ga3Sn
Method: DFT, PBE
State: relaxed

a b c (Å): 4.5834 4.2604 11.5347
angles (deg): 90.00 90.00 90.00
Element x y z (fractional)
Ga 0.0000 0.0000 0.4300
Ga 0.0000 0.5000 0.5717
Ga 0.5000 0.0000 0.9176
Pr 0.0000 0.0000 0.1459
Pr 0.5000 0.5000 0.3678
Pr 0.0000 0.5000 0.8543
Pr 0.5000 0.0000 0.6384
Sn 0.5000 0.5000 0.0742

Computed properties:
Final energy in eV per cell: -37.297
Calculated formation energy in meV per atom: -636.9
Space group: Pmm2, No. 25

=====

No. 3
Material: PrGa2Sn
Method: DFT, PBE
State: relaxed

a b c (Å): 4.4214 4.5935 4.5935
angles (deg): 90.00 90.00 90.00
Element x y z (fractional)
Ga 0.0000 0.0000 0.5000
Ga 0.0000 0.5000 0.0000
Pr 0.5000 0.5000 0.5000
Sn 0.5000 0.0000 0.0000

Computed properties:
Final energy in eV per cell: -16.883
Energy above the most stable polymorph in this dataset in eV per atom: 0.0000
Calculated formation energy in meV per atom: -511.6
Space group: P4/mmm, No. 123

=====

No. 4
Material: Pr12Ga2Sn5
Method: DFT, PBE
State: relaxed

a b c (Å): 7.4792 9.8593 10.1722
angles (deg): 103.15 90.00 112.29
Element x y z (fractional)
Ga 0.3267 0.0000 0.0000
Ga 0.6733 0.0000 0.0000
Sn 0.0000 0.0000 0.5000
Sn 0.6792 0.3585 0.8319
Sn 0.3208 0.6415 0.1681
Sn 0.6970 0.3939 0.3583
Sn 0.3030 0.6061 0.6417
Pr 0.9112 0.3329 0.0932
Pr 0.0931 0.6978 0.4287
Pr 0.9769 0.9537 0.1762
Pr 0.0231 0.0463 0.8238
Pr 0.5783 0.6671 0.9068
Pr 0.4940 0.9880 0.7200
Pr 0.3953 0.3022 0.5713
Pr 0.9069 0.3022 0.5713
Pr 0.4217 0.3329 0.0932
Pr 0.0888 0.6671 0.9068
Pr 0.5060 0.0120 0.2800
Pr 0.6047 0.6978 0.4287

Computed properties:
Final energy in eV per cell: -90.683
Calculated formation energy in meV per atom: -382.2
Space group: C2/m, No. 12

=====

No. 5
Material: Pr3GaSn3
Method: DFT, PBE
State: relaxed

a b c (Å): 4.5612 6.3325 15.0281
angles (deg): 82.30 81.27 68.89
Element x y z (fractional)
Sn 0.8811 0.1608 0.0770
Sn 0.8556 0.7494 0.5394
Sn 0.9962 0.7812 0.2265
Sn 0.1444 0.2506 0.4606
Sn 0.0038 0.2188 0.7735
Sn 0.1189 0.8392 0.9230
Pr 0.6068 0.7094 0.0769
Pr 0.7310 0.7701 0.7679
Pr 0.4859 0.6495 0.3787
Pr 0.5141 0.3505 0.6213
Pr 0.3932 0.2906 0.9231
Pr 0.2690 0.2299 0.2321
Ga 0.2283 0.9151 0.6283
Ga 0.7717 0.0849 0.3717

Computed properties:
Final energy in eV per cell: -68.678
Calculated formation energy in meV per atom: -709.3
Space group: C2/m, No. 12

=====

No. 6
Material: Pr12Ga6Sn
Method: DFT, PBE
State: relaxed

a b c (Å): 9.1049 9.1049 9.1049
angles (deg): 109.47 109.47 109.47
Element x y z (fractional)
Ga 0.6201 0.5000 0.1201
Ga 0.5000 0.8799 0.3799
Ga 0.1201 0.6201 0.5000
Ga 0.5000 0.1201 0.6201
Ga 0.8799 0.3799 0.5000
Ga 0.3799 0.5000 0.8799
Pr 0.1884 0.2945 0.4829
Pr 0.8939 0.1884 0.7055
Pr 0.2945 0.1061 0.8116
Pr 0.1061 0.8116 0.2945
Pr 0.8116 0.7055 0.5171
Pr 0.5171 0.8116 0.7055
Pr 0.7055 0.8939 0.1884
Pr 0.4829 0.1884 0.2945
Pr 0.1884 0.7055 0.8939
Pr 0.8116 0.2945 0.1061
Pr 0.7055 0.5171 0.8116
Pr 0.2945 0.4829 0.1884
Sn 0.0000 0.0000 0.0000

Computed properties:
Final energy in eV per cell: -87.090
Calculated formation energy in meV per atom: -398.5
Space group: Im-3, No. 204

=====

> Number 2 is which compound?

Pr4Ga3Sn